# 1
Below is an optimized crystal structure of TaSe2, with properties calculated at the PBE level.

Electronic total energy ... -7.0912 eV/atom
Symmetry ... P-1

Cell lengths 9.1566, 9.8146, 11.5180 Å; angles 107.91, 105.70, 83.37 degrees
Positions (direct):
1 Se 0.0704 0.2746 0.0829
2 Se 0.9296 0.7254 0.9171
3 Se 0.2953 0.9772 0.0097
4 Se 0.7047 0.0228 0.9903
5 Se 0.9977 0.0503 0.7852
6 Se 0.0023 0.9497 0.2148
7 Se 0.3673 0.1993 0.3116
8 Se 0.6327 0.8007 0.6884
9 Se 0.2195 0.7468 0.7107
10 Se 0.7805 0.2532 0.2893
11 Se 0.7671 0.3477 0.8586
12 Se 0.2329 0.6523 0.1414
13 Se 0.1331 0.4922 0.4004
14 Se 0.8669 0.5078 0.5996
15 Se 0.5100 0.6511 0.9359
16 Se 0.4900 0.3489 0.0641
17 Se 0.6686 0.1158 0.5590
18 Se 0.3314 0.8842 0.4410
19 Se 0.8160 0.5727 0.1600
20 Se 0.1840 0.4273 0.8400
21 Se 0.5904 0.8919 0.2536
22 Se 0.4096 0.1081 0.7464
23 Se 0.9102 0.7987 0.4793
24 Se 0.0898 0.2013 0.5207
25 Se 0.4379 0.4200 0.6312
26 Se 0.5621 0.5800 0.3688
27 Ta 0.0000 0.0000 0.0000
28 Ta 0.7852 0.2833 0.0691
29 Ta 0.2148 0.7167 0.9309
30 Ta 0.2831 0.9305 0.2142
31 Ta 0.7169 0.0695 0.7858
32 Ta 0.0692 0.2143 0.2834
33 Ta 0.9308 0.7857 0.7166
34 Ta 0.8487 0.5130 0.3600
35 Ta 0.1513 0.4870 0.6400
36 Ta 0.5130 0.6402 0.1518
37 Ta 0.4870 0.3598 0.8482
38 Ta 0.3593 0.1510 0.5127
39 Ta 0.6407 0.8490 0.4873

# 2
Below is an optimized crystal structure of TaSe2, with properties calculated at the PBE level.

Electronic total energy ... -7.0685 eV/atom
Symmetry ... P-1

Cell lengths 3.4886, 3.4892, 13.6859 Å; angles 89.83, 82.72, 60.00 degrees
Positions (direct):
1 Se 0.5798 0.2127 0.6293
2 Se 0.4284 0.7821 0.3711
3 Se 0.7521 0.6237 0.8753
4 Se 0.2561 0.3711 0.1252
5 Ta 0.8425 0.0765 0.2480
6 Ta 0.1660 0.9182 0.7524

Magnetization in μB per formula unit, matching the order above: 0.000 0.000